Compound: Sr3CaMn2S2O5
Source: Alexandria via LeMat-Bulk
Functional: PBE+U
Structure: optimized geometry

Unit cell a=14.579 b=14.579 c=14.579 alpha=164.32 beta=164.32 gamma=22.24
Fractional coordinates of all 13 atoms:
Sr 0.000 0.000 0.000
Sr 0.131 0.131 0.000
Sr 0.869 0.869 0.000
Ca 0.250 0.750 0.500
Mn 0.431 0.431 0.000
Mn 0.569 0.569 0.000
S 0.315 0.315 0.000
S 0.685 0.685 0.000
O 0.076 0.576 0.500
O 0.424 0.924 0.500
O 0.500 0.500 0.000
O 0.576 0.076 0.500
O 0.924 0.424 0.500

Summary:
The total energy is -6.3454 eV/atom.